i.
Density functional theory data (PBE-GGA) for an optimized crystal structure of Ti4Bi2B.

As for the space group: I4/mcm (140). The calculation puts the mass density at 7889 kg/m3.

CIF file:
```
data_Ti4Bi2B
_chemical_formula_sum 'Ti8 Bi4 B2'
_cell_length_a 7.7282
_cell_length_b 7.7282
_cell_length_c 7.7282
_cell_angle_alpha 95.65
_cell_angle_beta 95.65
_cell_angle_gamma 143.43
_space_group_name_H-M_alt 'P 1'
_space_group_IT_number 1
_space_group_name_Hall 'P 1'
loop_
_atom_site_label
_atom_site_type_symbol
_atom_site_fract_x
_atom_site_fract_y
_atom_site_fract_z
Ti1 Ti 0.0731 0.8171 0.8902
Ti2 Ti 0.1829 0.0731 0.2559
Ti3 Ti 0.3171 0.5731 0.8902
Ti4 Ti 0.4269 0.3171 0.7441
Ti5 Ti 0.5731 0.6829 0.2559
Ti6 Ti 0.6829 0.4269 0.1098
Ti7 Ti 0.8171 0.9269 0.7441
Ti8 Ti 0.9269 0.1829 0.1098
Bi1 Bi 0.1414 0.3586 0.5000
Bi2 Bi 0.3586 0.8586 0.2171
Bi3 Bi 0.6414 0.1414 0.7829
Bi4 Bi 0.8586 0.6414 0.5000
B1 B 0.2500 0.2500 0.0000
B2 B 0.7500 0.7500 0.0000
```

ii.
Density functional theory data (PBE-GGA) for an optimized crystal structure of Ti4Bi2B.

As for the space group: I4/mmm (139). The calculation puts the mass density at 7713 kg/m3.

CIF file:
```
data_Ti4Bi2B
_chemical_formula_sum 'Ti4 Bi2 B1'
_cell_length_a 7.8888
_cell_length_b 7.8888
_cell_length_c 7.8888
_cell_angle_alpha 148.51
_cell_angle_beta 148.51
_cell_angle_gamma 45.14
_space_group_name_H-M_alt 'P 1'
_space_group_IT_number 1
_space_group_name_Hall 'P 1'
loop_
_atom_site_label
_atom_site_type_symbol
_atom_site_fract_x
_atom_site_fract_y
_atom_site_fract_z
Ti1 Ti 0.0000 0.5000 0.5000
Ti2 Ti 0.1491 0.1491 0.0000
Ti3 Ti 0.5000 0.0000 0.5000
Ti4 Ti 0.8509 0.8509 0.0000
Bi1 Bi 0.3514 0.3514 0.0000
Bi2 Bi 0.6486 0.6486 0.0000
B1 B 0.0000 0.0000 0.0000
```

Result of the stability comparison: ii is the least stable of them.

i.
Density functional theory data (PBE-GGA) for an optimized crystal structure of TlBi3B.

As for the space group: Pm-3m (221). The calculation puts the mass density at 7017 kg/m3.

CIF file:
```
data_TlBi3B
_chemical_formula_sum 'Tl1 Bi3 B1'
_cell_length_a 5.8410
_cell_length_b 5.8410
_cell_length_c 5.8410
_cell_angle_alpha 90.00
_cell_angle_beta 90.00
_cell_angle_gamma 90.00
_space_group_name_H-M_alt 'P 1'
_space_group_IT_number 1
_space_group_name_Hall 'P 1'
loop_
_atom_site_label
_atom_site_type_symbol
_atom_site_fract_x
_atom_site_fract_y
_atom_site_fract_z
Tl1 Tl 0.0000 0.0000 0.0000
Bi1 Bi 0.0000 0.0000 0.5000
Bi2 Bi 0.0000 0.5000 0.0000
Bi3 Bi 0.5000 0.0000 0.0000
B1 B 0.5000 0.5000 0.5000
```

ii.
Density functional theory data (PBE-GGA) for an optimized crystal structure of TlBi3B.

As for the space group: Pm-3m (221). The calculation puts the mass density at 9956 kg/m3.

CIF file:
```
data_TlBi3B
_chemical_formula_sum 'Tl1 Bi3 B1'
_cell_length_a 5.1982
_cell_length_b 5.1982
_cell_length_c 5.1982
_cell_angle_alpha 90.00
_cell_angle_beta 90.00
_cell_angle_gamma 90.00
_space_group_name_H-M_alt 'P 1'
_space_group_IT_number 1
_space_group_name_Hall 'P 1'
loop_
_atom_site_label
_atom_site_type_symbol
_atom_site_fract_x
_atom_site_fract_y
_atom_site_fract_z
Tl1 Tl 0.0000 0.0000 0.0000
Bi1 Bi 0.0000 0.5000 0.5000
Bi2 Bi 0.5000 0.0000 0.5000
Bi3 Bi 0.5000 0.5000 0.0000
B1 B 0.5000 0.5000 0.5000
```

Result of the stability comparison: i is the least stable of them.